*1*
A relaxed structure of ZrOsW2. Source: the Alexandria database, functional PBE.

The value obtained for the density of states at the Fermi level is 0.671 states/eV per atom. Its total moment is 0.000 μB per atom.

It has space group Pm (No. 6), with a = 2.841 Å, b = 4.505 Å, c = 5.338 Å, α = 90.00°, β = 100.17° and γ = 90.00°. The inequivalent atoms are Zr at (0.000, 0.000, 0.000), Os at (0.747, 0.500, 0.247), W at (0.263, 0.500, 0.731) and W at (0.488, 0.000, 0.500).

*2*
A relaxed structure of ZrOsW2. Source: the Alexandria database, functional PBE.

The value obtained for the density of states at the Fermi level is 0.407 states/eV per atom. Its total moment is 0.000 μB per atom.

It has space group Pmmm (No. 47), with a = 3.203 Å, b = 4.526 Å, c = 4.645 Å, α = 90.00°, β = 90.00° and γ = 90.00°. The inequivalent atoms are Zr at (0.000, 0.000, 0.000), Os at (0.500, 0.500, 0.000), W at (0.000, 0.500, 0.500) and W at (0.500, 0.000, 0.500).

*3*
A relaxed structure of ZrOsW2. Source: the Alexandria database, functional PBE.

The value obtained for the density of states at the Fermi level is 1.090 states/eV per atom. Its total moment is 0.000 μB per atom.

It has space group I-42d (No. 122), with a = 7.503 Å, b = 7.503 Å, c = 5.358 Å, α = 90.00°, β = 90.00° and γ = 90.00°. The inequivalent atoms are Zr at (0.000, 0.000, 0.000), Os at (0.000, 0.000, 0.500) and W at (0.212, 0.250, 0.625).

*4*
A relaxed structure of ZrOsW2. Source: the Alexandria database, functional PBE.

The value obtained for the density of states at the Fermi level is 0.317 states/eV per atom. Its total moment is 0.000 μB per atom.

It has space group F-43m (No. 216), with a = 6.450 Å, b = 6.450 Å, c = 6.450 Å, α = 90.00°, β = 90.00° and γ = 90.00°. The inequivalent atoms are Zr at (0.000, 0.000, 0.000), Os at (0.250, 0.250, 0.750), W at (0.000, 0.000, 0.500) and W at (0.250, 0.250, 0.250).

Energies relative to the minimum, eV/atom: *1* 0.121; *2* 0.027; *3* 0.722; *4* 0.000

*1*
A relaxed structure of ZrOsW2. Source: the Alexandria database, functional PBE.

The value obtained for the density of states at the Fermi level is 0.458 states/eV per atom. Its total moment is 0.000 μB per atom.

It has space group P4mm (No. 99), with a = 3.216 Å, b = 3.216 Å, c = 6.565 Å, α = 90.00°, β = 90.00° and γ = 90.00°. The inequivalent atoms are Zr at (0.000, 0.000, 0.000), Os at (0.500, 0.500, 0.258), W at (0.000, 0.000, 0.502) and W at (0.500, 0.500, 0.729).

*2*
A relaxed structure of ZrOsW2. Source: the Alexandria database, functional PBE.

The value obtained for the density of states at the Fermi level is 0.616 states/eV per atom. Its total moment is 0.000 μB per atom.

It has space group C2/m (No. 12), with a = 5.479 Å, b = 9.135 Å, c = 2.845 Å, α = 90.00°, β = 109.56° and γ = 90.00°. The inequivalent atoms are Zr at (0.000, 0.000, 0.000), Os at (0.000, 0.500, 0.000) and W at (0.250, 0.250, 0.500).

*3*
A relaxed structure of ZrOsW2. Source: the Alexandria database, functional PBE.

The value obtained for the density of states at the Fermi level is 0.819 states/eV per atom. Its total moment is 0.000 μB per atom.

It has space group P2/m (No. 10), with a = 2.842 Å, b = 4.568 Å, c = 5.271 Å, α = 90.00°, β = 101.06° and γ = 90.00°. The inequivalent atoms are Zr at (0.000, 0.000, 0.000), Os at (0.500, 0.000, 0.500) and W at (0.252, 0.500, 0.747).

Energies relative to the minimum, eV/atom: *1* 0.000; *2* 0.099; *3* 0.125